Entry 1:
Here is AlSiW2 after structural relaxation from the Alexandria database. Energies are from PBE.

## Properties
mass density: 11.72 g cm⁻³
total energy: -34.67 eV for the cell shown
energy relative to the elements, uncorrected: 100 meV per atom
offset from the most stable computed form: 268.2 meV/atom

a b c (Å): 4.988 4.988 2.764
angles (deg): 100.35 100.35 112.88
Atoms (fractional coordinates):
Al 0.000 0.000 0.000
Si 0.500 0.500 0.000
W 0.000 0.500 0.500
W 0.500 0.000 0.500

=====

Entry 2:
Here is AlSiW2 after structural relaxation from the Alexandria database. Energies are from PBE.

## Properties
mass density: 11.69 g cm⁻³
total energy: -34.50 eV for the cell shown
energy relative to the elements, uncorrected: 142 meV per atom
offset from the most stable computed form: 311.1 meV/atom

a b c (Å): 2.947 2.947 6.917
angles (deg): 90.00 90.00 90.00
Atoms (fractional coordinates):
Al 0.000 0.000 0.000
Si 0.000 0.000 0.500
W 0.500 0.500 0.278
W 0.500 0.500 0.722

=====

Entry 3:
Here is AlSiW2 after structural relaxation from the Alexandria database. Energies are from PBE.

## Properties
mass density: 10.63 g cm⁻³
total energy: -65.44 eV for the cell shown
energy relative to the elements, uncorrected: 587 meV per atom
offset from the most stable computed form: 756.1 meV/atom

a b c (Å): 5.658 5.658 5.658
angles (deg): 102.48 102.48 124.60
Atoms (fractional coordinates):
Al 0.000 0.000 0.000
Al 0.750 0.250 0.500
Si 0.250 0.750 0.500
Si 0.500 0.500 0.000
W 0.164 0.625 0.039
W 0.375 0.414 0.539
W 0.586 0.125 0.961
W 0.875 0.836 0.461

=====

Entry 4:
Here is AlSiW2 after structural relaxation from the Alexandria database. Energies are from PBE.

## Properties
mass density: 11.75 g cm⁻³
total energy: -34.14 eV for the cell shown
energy relative to the elements, uncorrected: 232 meV per atom
offset from the most stable computed form: 401.0 meV/atom

a b c (Å): 4.868 4.868 2.722
angles (deg): 90.00 90.00 112.18
Atoms (fractional coordinates):
Al 0.000 0.000 0.000
Si 0.500 0.500 0.000
W 0.000 0.500 0.500
W 0.500 0.000 0.500

=====

Entry 5:
Here is Al2SiW after structural relaxation from the Alexandria database. Energies are from PBE.

## Properties
mass density: 7.17 g cm⁻³
total energy: -25.28 eV for the cell shown
energy relative to the elements, uncorrected: 144 meV per atom

a b c (Å): 2.781 2.781 7.965
angles (deg): 90.00 90.00 90.00
Atoms (fractional coordinates):
Al 0.000 0.000 0.000
Al 0.500 0.500 0.263
Si 0.000 0.000 0.514
W 0.500 0.500 0.749

=====

Entry 6:
Here is Al2SiW after structural relaxation from the Alexandria database. Energies are from PBE.

## Properties
mass density: 7.31 g cm⁻³
total energy: -25.67 eV for the cell shown
energy relative to the elements, uncorrected: 48 meV per atom

a b c (Å): 5.000 5.000 4.538
angles (deg): 94.49 94.49 32.29
Atoms (fractional coordinates):
Al 0.241 0.241 0.246
Al 0.759 0.759 0.754
Si 0.000 0.000 0.500
W 0.500 0.500 0.000

=====

Entry 7:
Here is Al2SiW after structural relaxation from the Alexandria database. Energies are from PBE.

## Properties
mass density: 7.10 g cm⁻³
total energy: -25.39 eV for the cell shown
energy relative to the elements, uncorrected: 118 meV per atom

a b c (Å): 8.694 8.694 8.694
angles (deg): 19.21 19.21 19.21
Atoms (fractional coordinates):
Al 0.000 0.000 0.000
Al 0.245 0.245 0.245
Si 0.749 0.749 0.749
W 0.493 0.493 0.493

=====

Entry 8:
Here is AlSiW2 after structural relaxation from the Alexandria database. Energies are from PBE.

## Properties
mass density: 11.69 g cm⁻³
total energy: -34.73 eV for the cell shown
energy relative to the elements, uncorrected: 86 meV per atom
offset from the most stable computed form: 254.9 meV/atom

a b c (Å): 2.769 4.158 5.302
angles (deg): 90.00 100.19 90.00
Atoms (fractional coordinates):
Al 0.000 0.000 0.000
Si 0.500 0.000 0.500
W 0.276 0.500 0.749
W 0.724 0.500 0.251

=====

Entry 9:
Here is AlSiW2 after structural relaxation from the Alexandria database. Energies are from PBE.

## Properties
mass density: 11.52 g cm⁻³
total energy: -34.59 eV for the cell shown
energy relative to the elements, uncorrected: 120 meV per atom
offset from the most stable computed form: 288.3 meV/atom

a b c (Å): 8.898 8.898 8.898
angles (deg): 18.34 18.34 18.34
Atoms (fractional coordinates):
Al 0.000 0.000 0.000
Si 0.500 0.500 0.500
W 0.247 0.247 0.247
W 0.753 0.753 0.753

=====

Entry 10:
Here is Al2SiW after structural relaxation from the Alexandria database. Energies are from PBE.

## Properties
mass density: 7.14 g cm⁻³
total energy: -25.24 eV for the cell shown
energy relative to the elements, uncorrected: 155 meV per atom

a b c (Å): 8.535 8.535 8.535
angles (deg): 19.71 19.71 19.71
Atoms (fractional coordinates):
Al 0.247 0.247 0.247
Al 0.753 0.753 0.753
Si 0.500 0.500 0.500
W 0.000 0.000 0.000

=====

Entry 11:
Here is AlSiW2 after structural relaxation from the Alexandria database. Energies are from PBE.

## Properties
mass density: 11.75 g cm⁻³
total energy: -34.20 eV for the cell shown
energy relative to the elements, uncorrected: 218 meV per atom
offset from the most stable computed form: 386.5 meV/atom

a b c (Å): 4.876 4.876 4.876
angles (deg): 133.61 133.61 67.69
Atoms (fractional coordinates):
Al 0.000 0.000 0.000
Si 0.500 0.500 0.000
W 0.250 0.750 0.500
W 0.750 0.250 0.500

=====

Entry 12:
Here is Al2SiW after structural relaxation from the Alexandria database. Energies are from PBE.

## Properties
mass density: 7.46 g cm⁻³
total energy: -52.35 eV for the cell shown
energy relative to the elements, uncorrected: -78 meV per atom

a b c (Å): 5.502 5.502 4.907
angles (deg): 105.06 105.06 56.46
Atoms (fractional coordinates):
Al 0.132 0.631 0.705
Al 0.369 0.868 0.295
Al 0.631 0.132 0.705
Al 0.868 0.369 0.295
Si 0.119 0.119 0.774
Si 0.881 0.881 0.226
W 0.351 0.351 0.193
W 0.649 0.649 0.807

=====

Entry 13:
Here is Al2SiW after structural relaxation from the Alexandria database. Energies are from PBE.

## Properties
mass density: 7.29 g cm⁻³
total energy: -25.85 eV for the cell shown
energy relative to the elements, uncorrected: 4 meV per atom

a b c (Å): 4.850 4.850 4.715
angles (deg): 94.67 94.67 33.27
Atoms (fractional coordinates):
Al 0.000 0.000 0.000
Al 0.249 0.249 0.760
Si 0.480 0.480 0.478
W 0.741 0.741 0.259

=====

Entry 14:
Here is AlSiW2 after structural relaxation from the Alexandria database. Energies are from PBE.

## Properties
mass density: 11.34 g cm⁻³
total energy: -34.04 eV for the cell shown
energy relative to the elements, uncorrected: 258 meV per atom
offset from the most stable computed form: 426.8 meV/atom

a b c (Å): 2.708 2.708 8.446
angles (deg): 90.00 90.00 90.00
Atoms (fractional coordinates):
Al 0.000 0.000 0.000
Si 0.500 0.500 0.256
W 0.000 0.000 0.488
W 0.500 0.500 0.758

=====

Entry 15:
Here is Al2SiW after structural relaxation from the Alexandria database. Energies are from PBE.

## Properties
mass density: 7.37 g cm⁻³
total energy: -24.45 eV for the cell shown
energy relative to the elements, uncorrected: 352 meV per atom

a b c (Å): 4.392 4.392 4.392
angles (deg): 60.00 60.00 60.00
Atoms (fractional coordinates):
Al 0.000 0.000 0.000
Al 0.250 0.250 0.250
Si 0.500 0.500 0.500
W 0.750 0.750 0.750

=====

Entry 16:
Here is AlSiW2 after structural relaxation from the Alexandria database. Energies are from PBE.

## Properties
mass density: 11.85 g cm⁻³
total energy: -35.75 eV for the cell shown
energy relative to the elements, uncorrected: -169 meV per atom
offset from the most stable computed form: 0.0 meV/atom

a b c (Å): 3.221 3.221 5.710
angles (deg): 90.00 90.00 90.00
Atoms (fractional coordinates):
Al 0.000 0.000 0.000
Si 0.500 0.500 0.245
W 0.000 0.000 0.481
W 0.500 0.500 0.750

=====

Entry 17:
Here is Al2SiW after structural relaxation from the Alexandria database. Energies are from PBE.

## Properties
mass density: 7.37 g cm⁻³
total energy: -26.20 eV for the cell shown
energy relative to the elements, uncorrected: -85 meV per atom

a b c (Å): 3.358 3.358 5.317
angles (deg): 90.00 90.00 90.00
Atoms (fractional coordinates):
Al 0.000 0.000 0.000
Al 0.500 0.500 0.257
Si 0.000 0.000 0.515
W 0.500 0.500 0.743

=====

Entry 18:
Here is AlSiW2 after structural relaxation from the Alexandria database. Energies are from PBE.

## Properties
mass density: 11.30 g cm⁻³
total energy: -34.43 eV for the cell shown
energy relative to the elements, uncorrected: 160 meV per atom
offset from the most stable computed form: 328.3 meV/atom

a b c (Å): 2.738 2.738 8.591
angles (deg): 90.00 90.00 105.37
Atoms (fractional coordinates):
Al 0.000 0.000 0.000
Si 0.500 0.500 0.738
W 0.000 0.000 0.506
W 0.500 0.500 0.247

=====

Entry 19:
Here is Al2SiW after structural relaxation from the Alexandria database. Energies are from PBE.

## Properties
mass density: 6.66 g cm⁻³
total energy: -47.19 eV for the cell shown
energy relative to the elements, uncorrected: 567 meV per atom

a b c (Å): 5.707 5.707 5.707
angles (deg): 101.37 101.37 127.27
Atoms (fractional coordinates):
Al 0.104 0.625 0.979
Al 0.375 0.354 0.479
Al 0.646 0.125 0.021
Al 0.875 0.896 0.521
Si 0.000 0.000 0.000
Si 0.750 0.250 0.500
W 0.250 0.750 0.500
W 0.500 0.500 0.000

=====

Entry 20:
Here is AlSiW after structural relaxation from the Alexandria database. Energies are from PBE.

## Properties
mass density: 8.73 g cm⁻³
total energy: -21.91 eV for the cell shown
energy relative to the elements, uncorrected: 70 meV per atom

a b c (Å): 4.374 4.374 2.743
angles (deg): 90.00 90.00 120.00
Atoms (fractional coordinates):
Al 0.000 0.000 0.000
Si 0.667 0.333 0.448
W 0.333 0.667 0.501

=====

Entry 21:
Here is Al2SiW after structural relaxation from the Alexandria database. Energies are from PBE.

## Properties
mass density: 7.13 g cm⁻³
total energy: -25.39 eV for the cell shown
energy relative to the elements, uncorrected: 118 meV per atom

a b c (Å): 2.798 2.798 8.077
angles (deg): 90.00 90.00 101.76
Atoms (fractional coordinates):
Al 0.000 0.000 0.000
Al 0.500 0.500 0.263
Si 0.500 0.500 0.750
W 0.000 0.000 0.515

=====

Entry 22:
Here is Al2SiW after structural relaxation from the Alexandria database. Energies are from PBE.

## Properties
mass density: 7.50 g cm⁻³
total energy: -25.95 eV for the cell shown
energy relative to the elements, uncorrected: -22 meV per atom

a b c (Å): 4.880 4.880 4.880
angles (deg): 139.06 128.23 68.03
Atoms (fractional coordinates):
Al 0.000 0.000 0.000
Al 0.747 0.247 0.500
Si 0.246 0.746 0.500
W 0.484 0.484 0.000

=====

Entry 23:
Here is AlSiW2 after structural relaxation from the Alexandria database. Energies are from PBE.

## Properties
mass density: 11.65 g cm⁻³
total energy: -34.77 eV for the cell shown
energy relative to the elements, uncorrected: 76 meV per atom
offset from the most stable computed form: 244.3 meV/atom

a b c (Å): 2.776 2.776 8.271
angles (deg): 90.00 90.00 109.09
Atoms (fractional coordinates):
Al 0.000 0.000 0.000
Si 0.000 0.000 0.500
W 0.500 0.500 0.262
W 0.500 0.500 0.738

=====

Entry 24:
Here is AlSiW2 after structural relaxation from the Alexandria database. Energies are from PBE.

## Properties
mass density: 11.79 g cm⁻³
total energy: -34.86 eV for the cell shown
energy relative to the elements, uncorrected: 53 meV per atom
offset from the most stable computed form: 221.4 meV/atom

a b c (Å): 4.789 4.789 4.571
angles (deg): 103.50 103.50 35.87
Atoms (fractional coordinates):
Al 0.000 0.000 0.000
Si 0.253 0.253 0.707
W 0.511 0.511 0.517
W 0.751 0.751 0.201

=====

Entry 25:
Here is AlSiW2 after structural relaxation from the Alexandria database. Energies are from PBE.

## Properties
mass density: 11.76 g cm⁻³
total energy: -34.83 eV for the cell shown
energy relative to the elements, uncorrected: 60 meV per atom
offset from the most stable computed form: 228.6 meV/atom

a b c (Å): 4.839 4.839 4.839
angles (deg): 132.90 132.90 68.81
Atoms (fractional coordinates):
Al 0.000 0.000 0.000
Si 0.250 0.750 0.500
W 0.500 0.500 0.000
W 0.750 0.250 0.500

=====

Entry 26:
Here is YAl2Si2 after structural relaxation from the Alexandria database. Energies are from PBE.

## Properties
mass density: 3.61 g cm⁻³
total energy: -50.37 eV for the cell shown
energy relative to the elements, uncorrected: -78 meV per atom

a b c (Å): 7.478 7.478 3.272
angles (deg): 90.00 90.00 90.00
Atoms (fractional coordinates):
Y 0.000 0.000 0.000
Y 0.500 0.500 0.000
Al 0.123 0.377 0.000
Al 0.377 0.877 0.000
Al 0.623 0.123 0.000
Al 0.877 0.623 0.000
Si 0.170 0.670 0.500
Si 0.330 0.170 0.500
Si 0.670 0.830 0.500
Si 0.830 0.330 0.500

=====

Entry 27:
Here is YAlSi2 after structural relaxation from the Alexandria database. Energies are from PBE.

## Properties
mass density: 3.93 g cm⁻³
total energy: -22.03 eV for the cell shown
energy relative to the elements, uncorrected: -245 meV per atom

a b c (Å): 5.231 5.231 5.231
angles (deg): 134.04 134.04 67.03
Atoms (fractional coordinates):
Y 0.000 0.000 0.000
Al 0.500 0.500 0.000
Si 0.250 0.750 0.500
Si 0.750 0.250 0.500

=====

Entry 28:
Here is YAlSi2 after structural relaxation from the Alexandria database. Energies are from PBE.

## Properties
mass density: 3.92 g cm⁻³
total energy: -22.18 eV for the cell shown
energy relative to the elements, uncorrected: -282 meV per atom

a b c (Å): 5.378 5.378 5.378
angles (deg): 136.48 136.48 63.23
Atoms (fractional coordinates):
Y 0.000 0.000 0.000
Al 0.250 0.750 0.500
Si 0.500 0.500 0.000
Si 0.750 0.250 0.500